No. 1
# PBE Sc2Si3Ni3, optimized geometry
# Electronic total energy   -6.414 eV/atom
data_Sc2Si3Ni3
_cell_length_a 3.789
_cell_length_b 9.657
_cell_length_c 12.712
_cell_angle_alpha 90.00
_cell_angle_beta 90.00
_cell_angle_gamma 90.00
_space_group_name_H-M_alt 'C m c m'
_space_group_IT_number 63
_space_group_name_Hall '-C 2c 2'
loop_
_atom_site_label
_atom_site_fract_x
_atom_site_fract_y
_atom_site_fract_z
_atom_site_occupancy
Sc1 0.000 0.138 0.072 1
Si1 0.000 0.161 0.648 1
Si2 0.000 0.408 0.750 1
Ni1 0.000 0.279 0.250 1
Ni2 0.000 0.445 0.091 1



No. 2
# PBE Tb5CdIn4, optimized geometry
# Energy relative to the elements   -0.45 eV per atom
data_Tb5CdIn4
_cell_length_a 3.766
_cell_length_b 3.766
_cell_length_c 18.897
_cell_angle_alpha 90.00
_cell_angle_beta 90.00
_cell_angle_gamma 90.00
_space_group_name_H-M_alt 'P 4/m m m'
_space_group_IT_number 123
_space_group_name_Hall '-P 4 2'
loop_
_atom_site_label
_atom_site_fract_x
_atom_site_fract_y
_atom_site_fract_z
_atom_site_occupancy
Tb1 0.000 0.000 0.000 1
Tb2 0.000 0.000 0.201 1
Tb3 0.000 0.000 0.402 1
Cd1 0.500 0.500 0.500 1
In1 0.500 0.500 0.100 1
In2 0.500 0.500 0.303 1



No. 3
# PBE La4Pm15Tl, optimized geometry
# Energy relative to the elements   -0.02 eV per atom
data_La4Pm15Tl
_cell_length_a 5.121
_cell_length_b 5.121
_cell_length_c 26.048
_cell_angle_alpha 90.00
_cell_angle_beta 90.00
_cell_angle_gamma 90.00
_space_group_name_H-M_alt 'P 4/m m m'
_space_group_IT_number 123
_space_group_name_Hall '-P 4 2'
loop_
_atom_site_label
_atom_site_fract_x
_atom_site_fract_y
_atom_site_fract_z
_atom_site_occupancy
La1 0.000 0.000 0.101 1
La2 0.000 0.000 0.303 1
Pm1 0.000 0.500 0.000 1
Pm2 0.000 0.500 0.203 1
Pm3 0.000 0.500 0.405 1
Pm4 0.500 0.500 0.102 1
Pm5 0.500 0.500 0.306 1
Pm6 0.500 0.500 0.500 1
Tl1 0.000 0.000 0.500 1



No. 4
# PBE BeCdCu, optimized geometry
# Energy relative to the elements   0.35 eV per atom
data_BeCdCu
_cell_length_a 5.687
_cell_length_b 5.687
_cell_length_c 5.687
_cell_angle_alpha 90.00
_cell_angle_beta 90.00
_cell_angle_gamma 90.00
_space_group_name_H-M_alt 'F -4 3 m'
_space_group_IT_number 216
_space_group_name_Hall 'F -4 2 3'
loop_
_atom_site_label
_atom_site_fract_x
_atom_site_fract_y
_atom_site_fract_z
_atom_site_occupancy
Be1 0.000 0.000 0.000 1
Cd1 0.250 0.250 0.250 1
Cu1 0.250 0.250 0.750 1



No. 5
# PBE TbGe2Pt2, optimized geometry
# Energy relative to the elements   -0.89 eV per atom
data_TbGe2Pt2
_cell_length_a 4.326
_cell_length_b 4.326
_cell_length_c 10.106
_cell_angle_alpha 90.00
_cell_angle_beta 90.00
_cell_angle_gamma 90.00
_space_group_name_H-M_alt 'P 4/n m m'
_space_group_IT_number 129
loop_
_space_group_symop_operation_xyz
'x,y,z'
'-x,-y,-z'
'-y+1/2,x,z'
'y+1/2,-x,-z'
'-x+1/2,-y+1/2,z'
'x+1/2,y+1/2,-z'
'y,-x+1/2,z'
'-y,x+1/2,-z'
'x+1/2,-y,-z'
'-x+1/2,y,z'
'-y,-x,-z'
'y,x,z'
'-x,y+1/2,-z'
'x,-y+1/2,z'
'y+1/2,x+1/2,-z'
'-y+1/2,-x+1/2,z'
loop_
_atom_site_label
_atom_site_fract_x
_atom_site_fract_y
_atom_site_fract_z
_atom_site_occupancy
Tb1 0.250 0.250 0.248 1
Ge1 0.250 0.250 0.869 1
Ge2 0.250 0.750 0.500 1
Pt1 0.250 0.250 0.629 1
Pt2 0.250 0.750 0.000 1



No. 6
# PBE DySc4Ir5, optimized geometry
# Energy relative to the elements   -0.97 eV per atom
data_DySc4Ir5
_cell_length_a 3.188
_cell_length_b 3.188
_cell_length_c 17.151
_cell_angle_alpha 90.00
_cell_angle_beta 90.00
_cell_angle_gamma 90.00
_space_group_name_H-M_alt 'P 4/m m m'
_space_group_IT_number 123
_space_group_name_Hall '-P 4 2'
loop_
_atom_site_label
_atom_site_fract_x
_atom_site_fract_y
_atom_site_fract_z
_atom_site_occupancy
Dy1 0.000 0.000 0.000 1
Sc1 0.000 0.000 0.207 1
Sc2 0.000 0.000 0.402 1
Ir1 0.500 0.500 0.113 1
Ir2 0.500 0.500 0.306 1
Ir3 0.500 0.500 0.500 1



For reference, density of states at the Fermi level by record: 19.2, 7.5, 27.2, 8.0, 6.2, 1.6 states/eV/cell.